[1]
! Sc2SbAs GGA-PBEsol optimized geometry; values from VASP
! - energy (eV per atom) = -6.5806
! - magnetization (μB/f.u.) = 0.00
! - formation energy without anion corrections (kJ per mole of atoms) = -83
&SYSTEM
  ibrav = 0, nat = 4, ntyp = 3
/
ATOMIC_SPECIES
Sc 44.96 Sc.upf
Sb 121.76 Sb.upf
As 74.92 As.upf
ATOMIC_POSITIONS crystal
Sc 0.000 0.000 0.000
Sc 0.750 0.250 0.500
Sb 0.250 0.750 0.500
As 0.500 0.500 0.000
CELL_PARAMETERS angstrom
-2.018 2.018 5.010
2.018 -2.018 5.010
2.018 2.018 -5.010

[2]
! Be2TlZn GGA-PBEsol optimized geometry; values from VASP
! - energy (eV per atom) = -2.5333
! - energy of formation from the pure elements (eV/atom) = 0.520
! - magnetization (μB/f.u.) = 0.00
&SYSTEM
  ibrav = 0, nat = 4, ntyp = 3
/
ATOMIC_SPECIES
Be 9.01 Be.upf
Tl 204.38 Tl.upf
Zn 65.41 Zn.upf
ATOMIC_POSITIONS crystal
Be 0.181 0.000 0.335
Be 0.819 0.000 0.665
Tl 0.000 0.500 0.000
Zn 0.500 0.500 0.500
CELL_PARAMETERS angstrom
2.969 0.000 0.000
0.000 3.977 0.000
-1.010 0.000 5.216

[3]
! CdAgTe GGA-PBEsol optimized geometry; values from VASP
! - energy (eV per atom) = -2.5982
! - magnetization (μB/f.u.) = 0.00
! - formation energy without anion corrections (kJ per mole of atoms) = 8
&SYSTEM
  ibrav = 0, nat = 3, ntyp = 3
/
ATOMIC_SPECIES
Cd 112.41 Cd.upf
Ag 107.87 Ag.upf
Te 127.60 Te.upf
ATOMIC_POSITIONS crystal
Cd 0.000 0.000 0.000
Ag 0.326 0.326 0.000
Te 0.660 0.660 0.000
CELL_PARAMETERS angstrom
-1.995 1.995 4.321
1.995 -1.995 4.321
1.995 1.995 -4.321